Here is a relaxed structure of AlNi2AsO6 from the Alexandria database. Energies are from PBE with a Hubbard U.

Computed properties:
Total energy (eV per atom): -5.5594
D(E_F) (states/eV/cell): 0.0
Calculated volume (Å³/cell): 113
Space group: P4mm, No. 99
Magnetic moment (μB/f.u.): 3.97
Mass density (g cm⁻³): 4.63

a b c (Å): 4.953 4.953 4.613
angles (deg): 90.00 90.00 90.00
Fractional positions:
1 Al 0.000 0.000 0.000
2 Ni 0.000 0.500 0.394
3 Ni 0.500 0.000 0.394
4 As 0.500 0.500 0.020
5 O 0.000 0.000 0.624
6 O 0.253 0.253 0.155
7 O 0.253 0.747 0.155
8 O 0.500 0.500 0.654
9 O 0.747 0.253 0.155
10 O 0.747 0.747 0.155